(1)
A geometry-optimized LiY2Ga2Rh5 structure, computed with PBE-GGA.

- E_tot (eV per formula unit) = -64.10
- density of states at the Fermi level (states/eV/cell) = 7.1
- ΔH_f (0 K) (meV per atom) = -645

Geometry as CIF:
```
data_LiY2Ga2Rh5
_cell_length_a 9.804
_cell_length_b 9.804
_cell_length_c 3.508
_cell_angle_alpha 90.00
_cell_angle_beta 90.00
_cell_angle_gamma 90.00
_symmetry_space_group_name_H-M 'P 4/m b m'
_symmetry_Int_Tables_number 127
_symmetry_space_group_name_Hall '-P 4 2ab'
loop_
_atom_site_label
_atom_site_fract_x
_atom_site_fract_y
_atom_site_fract_z
Li1 0.000 0.000 0.000
Y1 0.173 0.327 0.000
Ga1 0.127 0.627 0.000
Rh1 0.000 0.500 0.500
Rh2 0.067 0.799 0.500
```

=====

(2)
A geometry-optimized Zr2ZnTc structure, computed with PBE-GGA.

- E_tot (eV per formula unit) = -27.93
- density of states at the Fermi level (states/eV/cell) = 14.4
- ΔH_f (0 K) (meV per atom) = 203

Geometry as CIF:
```
data_Zr2ZnTc
_cell_length_a 7.436
_cell_length_b 7.436
_cell_length_c 5.668
_cell_angle_alpha 90.00
_cell_angle_beta 90.00
_cell_angle_gamma 90.00
_symmetry_space_group_name_H-M 'I -4 2 d'
_symmetry_Int_Tables_number 122
_symmetry_space_group_name_Hall 'I -4 2bw'
loop_
_atom_site_label
_atom_site_fract_x
_atom_site_fract_y
_atom_site_fract_z
Zr1 0.229 0.250 0.125
Zn1 0.000 0.000 0.500
Tc1 0.000 0.000 0.000
```

=====

(3)
A geometry-optimized Na4La3GaSe8 structure, computed with PBE-GGA.

- formation energy without anion corrections (eV/atom) = -1.440
- E_tot (eV per formula unit) = -74.00

Geometry as CIF:
```
data_Na4La3GaSe8
_cell_length_a 14.880
_cell_length_b 8.503
_cell_length_c 8.578
_cell_angle_alpha 90.00
_cell_angle_beta 125.16
_cell_angle_gamma 90.00
_symmetry_space_group_name_H-M 'C 1 2/m 1'
_symmetry_Int_Tables_number 12
_symmetry_space_group_name_Hall '-C 2y'
loop_
_atom_site_label
_atom_site_fract_x
_atom_site_fract_y
_atom_site_fract_z
Na1 0.000 0.000 0.000
Na2 0.000 0.500 0.000
Na3 0.250 0.250 0.500
La1 0.000 0.000 0.500
La2 0.250 0.250 0.000
Ga1 0.000 0.500 0.500
Se1 0.001 0.281 0.721
Se2 0.245 0.000 0.239
Se3 0.245 0.000 0.750
```